Here is an optimized crystal structure of MgTc2As from Alexandria via LeMat-Bulk. Energies are from PBE.

```
data_MgTc2As
_symmetry_space_group_name_H-M 'P 1'
_symmetry_Int_Tables_number 1
_cell_length_a 7.470
_cell_length_b 7.470
_cell_length_c 5.857
_cell_angle_alpha 50.38
_cell_angle_beta 50.38
_cell_angle_gamma 90.00
loop_
_symmetry_equiv_pos_as_xyz
'x,y,z'
loop_
_atom_site_label
_atom_site_type_symbol
_atom_site_fract_x
_atom_site_fract_y
_atom_site_fract_z
Mg1 Mg 0.500 0.500 0.000
Mg2 Mg 0.250 0.750 0.500
As1 As 0.000 0.000 0.000
As2 As 0.750 0.250 0.500
Tc1 Tc 0.693 0.125 0.250
Tc2 Tc 0.057 0.625 0.250
Tc3 Tc 0.375 0.307 0.750
Tc4 Tc 0.875 0.943 0.750
```

Symmetry   I-42d
Calculated formation energy   417 meV/atom
Magnetization   0.00 μB/atom
E   -6.327 eV/atom
Relative energy among the computed polymorphs   10.27 kcal/mol of atoms
ρ   6943 kg/m3